# Pm2Sm7Ho2

A geometry-optimized Pm2Sm7Ho2 structure (PBE-GGA, the Alexandria database).

```
11
Lattice="8.6598 -1.3466 0.0690 -1.9519 5.5501 1.7355 -0.9441 1.3466 8.6085" Properties=species:S:1:pos:R:3 pbc="T T T"
Sm -1.4816 5.0408 4.9800
Sm 3.1672 0.5093 0.8464
Sm 2.5966 5.0408 9.5666
Sm 3.9695 1.8016 4.2395
Sm 1.7944 3.7485 6.1735
Sm 0.0000 0.0000 0.0000
Sm 7.2455 0.5093 5.4331
Pm 0.6777 2.7751 2.7276
Pm 5.0861 2.7751 7.6855
Ho 6.1952 -0.0733 2.2605
Ho -0.4313 5.6234 8.1525
```

- V: 373 Å³ per cell
- Space group: C2/m
- ΔE to the lowest computed polymorph: 0 meV per atom
- DOS at the Fermi energy: 1.53 states/eV/atom

=====

# PmSm5Ho6

A geometry-optimized PmSm5Ho6 structure (PBE-GGA, the Alexandria database).

```
12
Lattice="-9.4434 -3.4049 1.6384 7.9973 -5.9483 -2.0287 1.4477 3.2302 4.6449" Properties=species:S:1:pos:R:3 pbc="T T T"
Ho 3.1422 -5.0503 2.5303
Ho 3.1414 -1.9888 0.4034
Ho -3.1405 -1.0726 1.7243
Ho -3.1398 -4.1342 3.8512
Ho 0.7243 0.0862 3.3851
Ho -0.7227 -6.2092 0.8695
Sm 0.0008 -3.0615 2.1273
Sm -6.0390 -2.1807 3.3972
Sm 1.9498 -5.0664 -0.7571
Sm -3.3959 -4.2868 0.3669
Sm 6.0407 -3.9423 0.8574
Pm 0.0000 0.0000 0.0000
```

- V: 392 Å³ per cell
- Total energy: -4.54 eV per atom
- Space group: Immm
- DOS at the Fermi energy: 1.70 states/eV/atom

=====

# Pm3Sm8Ho2

A geometry-optimized Pm3Sm8Ho2 structure (PBE-GGA, the Alexandria database).

```
13
Lattice="6.0575 0.3064 1.3332 1.9642 8.4857 1.4905 0.8275 -0.7112 8.7691" Properties=species:S:1:pos:R:3 pbc="T T T"
Sm 6.1851 1.5009 2.8624
Sm 4.7108 0.5173 6.0251
Sm 5.2632 4.9871 2.4876
Sm 4.1385 7.5637 5.5677
Sm 5.9872 3.7067 5.6187
Sm 3.5861 3.0939 9.1051
Sm 2.6642 6.5800 8.7303
Sm 2.8621 4.3742 5.9741
Pm 1.6881 6.2515 3.2587
Pm 1.1037 1.5230 7.0009
Pm 3.0287 0.1532 0.6666
Ho 2.9449 2.3434 3.4209
Ho 5.9044 5.7376 8.1719
```

- V: 441 Å³ per cell
- Space group: C2/m
- ΔE to the lowest computed polymorph: 0 meV per atom
- DOS at the Fermi energy: 1.71 states/eV/atom

=====

# Pm2Sm7Ho3

A geometry-optimized Pm2Sm7Ho3 structure (PBE-GGA, the Alexandria database).

```
12
Lattice="3.6414 0.0000 0.0000 0.0000 5.7768 0.0000 0.0000 -2.8884 19.1007" Properties=species:S:1:pos:R:3 pbc="T T T"
Sm 0.0000 2.8884 3.4706
Sm 0.0000 0.0000 15.6302
Sm 1.8207 2.8884 16.3629
Sm 0.0000 0.0000 0.0000
Sm 0.0000 0.0000 8.8358
Sm 0.0000 2.8884 10.2649
Sm 1.8207 0.0000 2.7379
Pm 0.0000 2.8884 13.4381
Pm 0.0000 0.0000 5.6626
Ho 1.8207 2.8884 7.0761
Ho 1.8207 0.0000 12.0246
Ho 1.8207 2.8884 0.0000
```

- V: 402 Å³ per cell
- Space group: Cmmm
- ΔE to the lowest computed polymorph: 0 meV per atom
- DOS at the Fermi energy: 1.58 states/eV/atom

=====

# Pm3Sm4Ho

A geometry-optimized Pm3Sm4Ho structure (PBE-GGA, the Alexandria database).

```
8
Lattice="3.4770 0.0000 -0.4387 -0.1708 6.7394 -1.3537 -0.2656 -1.1234 11.8926" Properties=species:S:1:pos:R:3 pbc="T T T"
Sm 0.6327 4.5208 5.0143
Sm 0.3028 2.1786 2.4000
Sm 2.7377 3.4374 7.7002
Sm 2.4079 1.0952 5.0859
Pm 0.2152 5.6774 1.7057
Pm 2.8253 -0.0615 8.3945
Pm -0.0854 3.3697 -0.6769
Ho 1.7385 0.0000 -0.2193
```

- V: 273 Å³ per cell
- Space group: C2/m
- ΔE to the lowest computed polymorph: 127 meV per atom
- DOS at the Fermi energy: 1.71 states/eV/atom

=====

# Pm2Sm5Ho3

A geometry-optimized Pm2Sm5Ho3 structure (PBE-GGA, the Alexandria database).

```
20
Lattice="8.5450 1.7014 -4.0250 0.3159 8.7331 -4.1087 -1.8576 -2.1257 10.8359" Properties=species:S:1:pos:R:3 pbc="T T T"
Sm 6.1921 5.2152 2.2788
Sm 0.8113 3.0936 0.4234
Sm 4.5469 3.3219 5.3358
Sm 2.0213 0.3708 6.0767
Sm 4.9821 7.9380 -3.3745
Sm 2.4565 4.9869 -2.6336
Sm 7.5978 2.7048 0.1095
Sm 3.4718 6.2069 0.0375
Sm -0.5945 5.6040 2.5926
Sm 3.5316 2.1020 2.6647
Ho -0.1346 6.2997 -0.6309
Ho 0.4719 6.8854 5.3983
Ho 5.9563 4.7660 -2.2456
Ho 6.5314 1.4234 -2.6961
Ho 1.0471 3.5428 4.9478
Ho 7.1380 2.0091 3.3331
Pm 5.3096 -0.1049 4.9246
Pm 2.8366 5.6102 3.2543
Pm 1.6937 8.4137 -2.2224
Pm 4.1668 2.6986 -0.5522
```

- V: 679 Å³ per cell
- Space group: C2/c
- ΔE to the lowest computed polymorph: 0 meV per atom
- DOS at the Fermi energy: 1.85 states/eV/atom

=====

# PmSm7Ho12

A geometry-optimized PmSm7Ho12 structure (PBE-GGA, the Alexandria database).

```
20
Lattice="-7.2829 -6.4732 0.3361 6.4358 -1.9799 7.0511 -3.5716 8.9801 1.2877" Properties=species:S:1:pos:R:3 pbc="T T T"
Sm 3.2179 -0.9899 3.5255
Sm -2.2094 0.2635 4.3374
Sm -1.7858 4.4900 0.6439
Sm -5.4273 1.2534 0.8119
Sm 1.4321 3.5001 4.1694
Sm -3.6415 -3.2366 0.1680
Sm -0.4236 -4.2265 3.6936
Ho -4.5016 5.1070 1.0505
Ho -8.3456 -0.2395 3.0675
Ho -2.4173 -1.8560 6.1775
Ho -2.9335 -1.4894 2.2579
Ho 0.5052 -0.3653 3.9412
Ho -4.9240 0.8923 4.7337
Ho 0.0828 -4.5800 7.6244
Ho -3.8454 -5.3463 2.0198
Ho -2.0015 2.3830 2.4974
Ho -1.4853 2.0164 6.4170
Ho -0.5734 5.8733 6.6551
Ho 3.9268 0.7665 5.6074
Pm 0.0000 0.0000 0.0000
```

- V: 713 Å³ per cell
- Space group: Im-3m
- ΔE to the lowest computed polymorph: 372 meV per atom
- DOS at the Fermi energy: 1.32 states/eV/atom

=====

# PmSm4Ho15

A geometry-optimized PmSm4Ho15 structure (PBE-GGA, the Alexandria database).

```
20
Lattice="-4.5557 -1.6777 1.2943 0.3444 -3.6145 -3.4729 10.4266 -15.2610 16.9174" Properties=species:S:1:pos:R:3 pbc="T T T"
Ho -2.1057 -2.6461 -1.0893
Ho 9.5534 -15.5383 13.4849
Ho 2.9354 -8.4694 9.1059
Ho 0.8511 -5.4187 5.7241
Ho 5.0197 -11.5200 12.4877
Ho 4.1500 -11.8023 9.0607
Ho -1.2325 -2.3689 2.3433
Ho 1.2175 -3.3373 -0.0404
Ho 5.3855 -9.4378 6.7223
Ho 6.2333 -14.8516 12.4410
Ho 7.4698 -12.4885 10.1041
Ho -0.0181 -5.7017 2.2979
Ho 2.0653 -8.7510 5.6782
Ho 3.3012 -6.3871 3.3405
Ho 7.1034 -14.5699 15.8685
Sm 2.0868 -3.0543 3.3858
Sm 4.1711 -6.1051 6.7677
Sm 6.2555 -9.1560 10.1498
Sm 8.3398 -12.2067 13.5316
Pm 0.0000 0.0000 0.0000
```

- V: 633 Å³ per cell
- Total energy: -4.60 eV per atom
- Space group: P4/mmm
- DOS at the Fermi energy: 1.32 states/eV/atom

=====

# PmSmHo

A geometry-optimized PmSmHo structure (PBE-GGA, the Alexandria database).

```
3
Lattice="-2.8767 2.0961 0.5554 -0.1349 -1.0939 3.4297 6.0952 5.2625 0.0263" Properties=species:S:1:pos:R:3 pbc="T T T"
Pm 3.0472 3.8268 1.3404
Sm 0.0149 0.0187 0.0065
Ho 0.0216 2.4193 2.6644
```

- V: 99 Å³ per cell
- Space group: I4mm
- ΔE to the lowest computed polymorph: 3 meV per atom
- DOS at the Fermi energy: 1.35 states/eV/atom

=====

# Pm8SmHo3

A geometry-optimized Pm8SmHo3 structure (PBE-GGA, the Alexandria database).

```
12
Lattice="7.1063 -1.3397 0.3485 -5.3355 9.1282 -6.7218 0.8735 -2.8121 9.0919" Properties=species:S:1:pos:R:3 pbc="T T T"
Pm 2.9558 -2.3103 6.1772
Pm -3.8634 7.9536 -3.6367
Pm -0.3116 7.2870 -3.4590
Pm 6.5072 -2.9773 6.3548
Pm -1.1926 3.4109 -0.2779
Pm 2.3650 2.7356 -0.1132
Pm 3.8370 1.5649 2.9968
Pm 0.2797 2.2407 2.8323
Ho -2.6677 4.5641 -3.3607
Ho 0.8854 3.8941 -3.1865
Ho -0.9090 5.6461 2.5442
Sm 0.8734 -2.8120 9.0918
```

- V: 401 Å³ per cell
- Total energy: -4.69 eV per atom
- Space group: P-1
- DOS at the Fermi energy: 1.31 states/eV/atom

=====

# Pm2Sm3Ho2

A geometry-optimized Pm2Sm3Ho2 structure (PBE-GGA, the Alexandria database).

```
7
Lattice="-3.3245 -1.0410 0.9275 3.7759 -9.8219 2.5091 -4.2072 0.7873 6.8192" Properties=species:S:1:pos:R:3 pbc="T T T"
Sm -2.8073 -4.0994 6.3534
Sm -0.9485 -5.9762 3.9024
Sm 0.0000 0.0000 0.0000
Ho -3.2869 -7.0710 8.3014
Ho -0.4689 -3.0046 1.9544
Pm -2.3376 -1.1164 4.3773
Pm -1.4182 -8.9592 5.8785
```

- V: 231 Å³ per cell
- Space group: C2/m
- ΔE to the lowest computed polymorph: 0 meV per atom
- DOS at the Fermi energy: 1.36 states/eV/atom

=====

# Pm3SmHo7

A geometry-optimized Pm3SmHo7 structure (PBE-GGA, the Alexandria database).

```
11
Lattice="-2.5580 4.8751 1.9108 0.5295 -5.6506 6.2403 8.3561 0.4942 1.0403" Properties=species:S:1:pos:R:3 pbc="T T T"
Ho -1.4806 1.1833 3.8858
Ho 7.8082 -1.4646 5.3056
Ho 1.5646 3.5741 1.8625
Ho 4.7630 -3.8555 7.3289
Ho 5.0301 -0.2228 7.3077
Ho 4.4428 -2.5782 3.6403
Ho 1.2976 -0.0586 1.8837
Sm 3.1638 -0.1407 4.5957
Pm 2.1832 -4.3523 5.1416
Pm -1.2790 2.4375 0.9554
Pm 6.7025 -0.8042 2.1390
```

- V: 365 Å³ per cell
- Space group: Immm
- ΔE to the lowest computed polymorph: 113 meV per atom
- DOS at the Fermi energy: 1.46 states/eV/atom

=====

Question: DOS at the Fermi energy of number 2 (PmSm5Ho6)?
Answer: 1.70 states/eV/atom